Crystalline TiCu2Pt3 at its relaxed geometry. Source: the Alexandria database, functional GGA-PBE.

Geometry as extended XYZ:
```
12
Lattice="-1.676 -0.993 -3.100 1.783 -3.530 0.167 -9.110 -4.303 6.301" Properties=species:S:1:pos:R:3 pbc="T T T"
Ti -5.339 -4.909 0.134
Pt -2.988 -3.698 0.637
Pt -2.352 -1.211 -0.503
Cu -7.741 -3.858 1.095
Cu -4.719 -2.430 -0.995
Cu -0.620 -2.479 1.128
Cu -6.708 -5.354 5.339
Pt -8.434 -4.084 3.703
Pt -5.392 -2.648 1.601
Pt 0.053 -2.261 -1.467
Ti 0.000 0.000 0.000
Pt -6.015 -5.128 2.731
```

Calculated values
- Theoretical density: 14.66 g/cm3
- ΔE_f: -3.5 eV per formula unit
- DFT total energy: -6.281 eV per atom
- D(E_F): 0.286 states/eV/atom
- SG: Cmmm (65)
- Volume: 172.2 Å³/cell
- Total magnetic moment: 0.000 μB per atom